The following is a DFT calculation (GGA-PBE) of a relaxed La2ThBr crystal.

Raw formation energy: -0.538 eV/atom
Raw total energy: -21.1 eV/cell
Energy above the most stable polymorph in this dataset: 0.070 eV/atom

abc: 3.664 3.664 9.615
angles: 90.00 90.00 90.00
Positions (direct):
La 0.000 0.000 0.248
La 0.000 0.000 0.752
Th 0.500 0.500 0.500
Br 0.500 0.500 0.000

The following is a DFT calculation (GGA-PBE) of a relaxed La2ThBr crystal.

Raw formation energy: -0.608 eV/atom
Raw total energy: -21.4 eV/cell
Energy above the most stable polymorph in this dataset: 0.000 eV/atom

abc: 10.741 10.741 10.741
angles: 20.22 20.22 20.22
Positions (direct):
La 0.244 0.244 0.244
La 0.756 0.756 0.756
Th 0.000 0.000 0.000
Br 0.500 0.500 0.500

The following is a DFT calculation (GGA-PBE) of a relaxed La2TiBr crystal.

Raw formation energy: 0.001 eV/atom
Raw total energy: -19.4 eV/cell
Energy above the most stable polymorph in this dataset: 0.000 eV/atom

abc: 5.466 5.466 5.466
angles: 60.00 60.00 60.00
Positions (direct):
La 0.250 0.250 0.250
La 0.750 0.750 0.750
Ti 0.000 0.000 0.000
Br 0.500 0.500 0.500

The following is a DFT calculation (GGA-PBE) of a relaxed La2TiBr crystal.

Raw formation energy: 0.041 eV/atom
Raw total energy: -38.5 eV/cell
Energy above the most stable polymorph in this dataset: 0.040 eV/atom

abc: 6.891 6.891 6.891
angles: 103.73 103.73 121.68
Positions (direct):
La 0.104 0.625 0.979
La 0.375 0.354 0.479
La 0.646 0.125 0.021
La 0.875 0.896 0.521
Ti 0.250 0.750 0.500
Ti 0.500 0.500 0.000
Br 0.000 0.000 0.000
Br 0.750 0.250 0.500

The following is a DFT calculation (GGA-PBE) of a relaxed LaTiBr3 crystal.

Raw formation energy: -0.706 eV/atom
Raw total energy: -21.4 eV/cell

abc: 5.081 5.081 5.081
angles: 90.00 90.00 90.00
Positions (direct):
La 0.000 0.000 0.000
Ti 0.500 0.500 0.500
Br 0.000 0.500 0.500
Br 0.500 0.000 0.500
Br 0.500 0.500 0.000

The following is a DFT calculation (GGA-PBE) of a relaxed LaTiBr2 crystal.

Raw formation energy: -0.518 eV/atom
Raw total energy: -36.5 eV/cell
Energy above the most stable polymorph in this dataset: 0.139 eV/atom

abc: 9.962 9.962 9.962
angles: 151.06 151.06 41.39
Positions (direct):
La 0.000 0.000 0.000
La 0.750 0.250 0.500
Ti 0.250 0.750 0.500
Ti 0.500 0.500 0.000
Br 0.155 0.625 0.030
Br 0.375 0.405 0.530
Br 0.595 0.125 0.970
Br 0.875 0.845 0.470